K2CaPb: relaxed, PBE.

a b c (Å): 6.916 6.916 4.150
angles (deg): 90.00 90.00 120.19
Positions (direct):
1 K 0.000 0.500 0.000
2 K 0.500 0.000 0.000
3 Ca 0.000 0.000 0.500
4 Pb 0.500 0.500 0.500

Symmetry ... Cmmm
ΔH_f (0 K) ... 0.049 eV/atom
Calculated density ... 3.2 g/cm³
Spin magnetization ... 0.000 μB per atom